Entry 1:
A plane-wave DFT calculation with PBE was carried out for crystalline BeTl2In at its relaxed geometry.

Values from the calculation:
**Size of the total moment**: 0.0 μB/cell
**Volume**: 105 Å³ per cell
**DFT formation energy**: 6.97 kcal/mol of atoms
**E_tot**: -2.497 eV per atom

a = 4.6323 Å, b = 4.6323 Å, c = 7.4070 Å
α = 72.98°, β = 72.98°, γ = 44.24°
With the nearest neighbours (Å) after each atom.
Positions (direct):
Be 0.4823 0.4823 0.3749  3 In 2.45-2.53
Tl 0.9982 0.9982 0.0494  2 Be 2.94
Tl 0.8233 0.8233 0.7000  2 Be 2.94
In 0.1962 0.1962 0.3757  3 Be 2.45-2.53

Entry 2:
A plane-wave DFT calculation with PBE was carried out for crystalline Be2TlIn at its relaxed geometry.

Values from the calculation:
**Size of the total moment**: 0.0 μB/cell
**Volume**: 78 Å³ per cell
**DFT formation energy**: 21.58 kcal/mol of atoms
**E_tot**: -2.204 eV per atom

a = 4.8001 Å, b = 4.8001 Å, c = 4.8001 Å
α = 60.00°, β = 60.00°, γ = 60.00°
With the nearest neighbours (Å) after each atom.
Positions (direct):
Be 0.0000 0.0000 0.0000  4 Tl 2.94, 4 Be 2.94
Be 0.2500 0.2500 0.2500  4 In 2.94, 4 Be 2.94
Tl 0.7500 0.7500 0.7500  4 In 2.94, 4 Be 2.94
In 0.5000 0.5000 0.5000  4 Be 2.94, 4 Tl 2.94

Entry 3:
A plane-wave DFT calculation with PBE was carried out for crystalline BeTl2In at its relaxed geometry.

Values from the calculation:
**Size of the total moment**: 0.0 μB/cell
**Volume**: 103 Å³ per cell
**DFT formation energy**: 7.68 kcal/mol of atoms
**E_tot**: -2.466 eV per atom

a = 7.8282 Å, b = 8.3003 Å, c = 8.0999 Å
α = 149.84°, β = 156.69°, γ = 40.99°
With the nearest neighbours (Å) after each atom.
Positions (direct):
Be 0.2500 0.7500 0.5000  2 In 2.51
Tl 0.9269 0.9186 0.0021  2 Be 2.89-3.21, 2 Tl 3.23
Tl 0.5731 0.5814 0.9979  2 Be 2.89-3.21, 2 Tl 3.23
In 0.7500 0.2500 0.5000  2 Be 2.51

Entry 4:
A plane-wave DFT calculation with PBE was carried out for crystalline BeTl2In at its relaxed geometry.

Values from the calculation:
**Size of the total moment**: 0.0 μB/cell
**Volume**: 99 Å³ per cell
**DFT formation energy**: 8.14 kcal/mol of atoms
**E_tot**: -2.446 eV per atom

a = 3.3720 Å, b = 3.3720 Å, c = 8.8506 Å
α = 90.00°, β = 90.00°, γ = 101.47°
With the nearest neighbours (Å) after each atom.
Positions (direct):
Be 0.0000 0.0000 0.5189  2 In 2.61, 2 Tl 2.82
Tl 0.0000 0.0000 0.9807  4 In 3.35-3.67, 6 Tl 3.37-3.62
Tl 0.5000 0.5000 0.3110  2 Be 2.82
In 0.5000 0.5000 0.6894  2 Be 2.61

Entry 5:
A plane-wave DFT calculation with PBE was carried out for crystalline BeTlIn3 at its relaxed geometry.

Values from the calculation:
**Size of the total moment**: 0.0 μB/cell
**Volume**: 129 Å³ per cell
**DFT formation energy**: 5.92 kcal/mol of atoms
**E_tot**: -2.605 eV per atom

a = 5.0549 Å, b = 5.0549 Å, c = 5.0549 Å
α = 90.00°, β = 90.00°, γ = 90.00°
With the nearest neighbours (Å) after each atom.
Positions (direct):
Be 0.0000 0.0000 0.0000  6 In 2.53
Tl 0.5000 0.5000 0.5000  12 In 3.57
In 0.0000 0.5000 0.0000  2 Be 2.53
In 0.0000 0.0000 0.5000  2 Be 2.53
In 0.5000 0.0000 0.0000  2 Be 2.53

Entry 6:
A plane-wave DFT calculation with PBE was carried out for crystalline Be2TlIn at its relaxed geometry.

Values from the calculation:
**Size of the total moment**: 0.0 μB/cell
**Volume**: 71 Å³ per cell
**DFT formation energy**: 10.41 kcal/mol of atoms
**E_tot**: -2.688 eV per atom

a = 4.0080 Å, b = 3.9351 Å, c = 4.9577 Å
α = 65.31°, β = 90.00°, γ = 90.00°
With the nearest neighbours (Å) after each atom.
Positions (direct):
Be 0.0000 0.1813 0.0143  2 Be 2.25
Be 0.5000 0.0658 0.2424  2 Be 2.25
Tl 0.5000 0.7774 0.8261  7 Be 2.63-2.94
In 0.0000 0.4755 0.4172  7 Be 2.66-2.92

| no. | mass density (Mg/m³) | energy above the most stable polymorph in this dataset (kJ per mole of atoms) |
| --- | --- | --- |
| 1 | 8.4 | 0.00 |
| 2 | 7.2 | 49.29 |
| 3 | 8.6 | 2.97 |
| 4 | 9.0 | 4.92 |
| 5 | 7.2 | 0.00 |
| 6 | 7.9 | 2.58 |